MnMoIr | SCAN | single point on PBEsol structure

Cell lengths 2.6542, 4.1687, 4.1687 Å; angles 120.00, 90.00, 90.00 degrees
Closest atoms and distances in Å follow each position.
Positions (direct):
Ir1 0.0000 0.0000 0.0000  2 Ir 2.65, 6 Mn 2.75, 6 Mo 2.75
Mn1 0.5000 0.3333 0.6667  3 Mo 2.41, 2 Mn 2.65
Mo1 0.5000 0.6667 0.3333  3 Mn 2.41, 2 Mo 2.65

volume: 13.3 Å³/atom
formation enthalpy at 0 K: -0.034 eV per atom
density: 14.26 g/cm³
DOS at the Fermi energy: 1.86 states/eV/cell
magnetic moment: 0.001 μB per atom